## CaLa2Mn2Fe2O12 (GGA+U)

Data for a geometry-optimized CaLa2Mn2Fe2O12 structure.

```
CaLa2Mn2Fe2O12
1.0
5.449 0.000 0.000
0.013 5.480 0.000
0.003 0.039 7.695
Ca La Mn Fe O
1 2 2 2 12
Direct
0.000 0.000 0.000
0.502 0.497 0.002
0.960 0.991 0.497
0.477 0.998 0.251
0.984 0.493 0.747
0.474 0.005 0.743
0.987 0.493 0.259
0.186 0.783 0.733
0.198 0.784 0.263
0.241 0.274 0.798
0.246 0.259 0.204
0.479 0.048 0.494
0.482 0.941 0.001
0.714 0.740 0.272
0.725 0.733 0.724
0.753 0.220 0.215
0.761 0.229 0.786
0.962 0.565 0.995
0.991 0.435 0.506
```

Computed properties:
raw total energy = -7.12 eV per atom
M_tot = 7.9 μB per formula unit
density of states at the Fermi level = 11.002 states/eV per cell
SG = No. 1